# PBE-GGA BeInAu, relaxed
data_BeInAu
_chemical_formula_sum 'Be2 In2 Au2'
_cell_length_a 3.1488
_cell_length_b 3.1488
_cell_length_c 10.8612
_cell_angle_alpha 90.00
_cell_angle_beta 90.00
_cell_angle_gamma 90.00
_space_group_name_H-M_alt 'I 4 m m'
_space_group_IT_number 107
_space_group_name_Hall 'I 4 -2'
loop_
_atom_site_label
_atom_site_type_symbol
_atom_site_fract_x
_atom_site_fract_y
_atom_site_fract_z
Be1 Be 0.0000 0.0000 0.0000
In1 In 0.0000 0.0000 0.2979
Au1 Au 0.0000 0.0000 0.5818
# Total magnetization, μB/f.u.: 0.000
# E above lowest polymorph, meV/atom: 205
# Density, g/cm3: 9.89

# PBE-GGA BeInAu2, relaxed
data_BeInAu2
_chemical_formula_sum 'Be4 In4 Au8'
_cell_length_a 4.9213
_cell_length_b 4.9213
_cell_length_c 14.6198
_cell_angle_alpha 90.00
_cell_angle_beta 90.00
_cell_angle_gamma 90.00
_space_group_name_H-M_alt 'I -4 2 d'
_space_group_IT_number 122
_space_group_name_Hall 'I -4 2bw'
loop_
_atom_site_label
_atom_site_type_symbol
_atom_site_fract_x
_atom_site_fract_y
_atom_site_fract_z
Be1 Be 0.0000 0.0000 0.0000
In1 In 0.0000 0.0000 0.5000
Au1 Au 0.1503 0.2500 0.1250
# Total magnetization, μB/f.u.: 0.000
# E above lowest polymorph, meV/atom: 184
# Density, g/cm3: 9.71

# PBE-GGA BeInAu2, relaxed
data_BeInAu2
_chemical_formula_sum 'Be4 In4 Au8'
_cell_length_a 6.4969
_cell_length_b 6.4969
_cell_length_c 6.4969
_cell_angle_alpha 90.00
_cell_angle_beta 90.00
_cell_angle_gamma 90.00
_space_group_name_H-M_alt 'F m -3 m'
_space_group_IT_number 225
_space_group_name_Hall '-F 4 2 3'
loop_
_atom_site_label
_atom_site_type_symbol
_atom_site_fract_x
_atom_site_fract_y
_atom_site_fract_z
Be1 Be 0.0000 0.0000 0.0000
In1 In 0.0000 0.0000 0.5000
Au1 Au 0.2500 0.2500 0.2500
# Total magnetization, μB/f.u.: 0.000
# E above lowest polymorph, meV/atom: 163
# Density, g/cm3: 12.54

# PBE-GGA Be2InAu8, relaxed
data_Be2InAu8
_chemical_formula_sum 'Be2 In1 Au8'
_cell_length_a 5.4472
_cell_length_b 5.6906
_cell_length_c 6.9999
_cell_angle_alpha 106.23
_cell_angle_beta 97.53
_cell_angle_gamma 110.80
_space_group_name_H-M_alt 'P 1'
_space_group_IT_number 1
loop_
_space_group_symop_operation_xyz
'x,y,z'
loop_
_atom_site_label
_atom_site_type_symbol
_atom_site_fract_x
_atom_site_fract_y
_atom_site_fract_z
Be1 Be 0.0000 0.0000 0.0000
Be2 Be 0.2682 0.4190 0.6242
In1 In 0.6350 0.7093 0.3118
Au1 Au 0.0182 0.6009 0.0847
Au2 Au 0.2512 0.8177 0.5388
Au3 Au 0.3673 0.1689 0.3027
Au4 Au 0.4088 0.2873 0.9093
Au5 Au 0.4932 0.8335 0.9391
Au6 Au 0.7758 0.5853 0.6846
Au7 Au 0.8599 0.1313 0.7143
Au8 Au 0.9015 0.2500 0.3211
# Total magnetization, μB/f.u.: 0.000
# E above lowest polymorph, meV/atom: 15
# Density, g/cm3: 15.07

# PBE-GGA BeIn2Au2, relaxed
data_BeIn2Au2
_chemical_formula_sum 'Be2 In4 Au4'
_cell_length_a 3.7905
_cell_length_b 3.7905
_cell_length_c 15.2955
_cell_angle_alpha 90.00
_cell_angle_beta 90.00
_cell_angle_gamma 90.00
_space_group_name_H-M_alt 'I 4/m m m'
_space_group_IT_number 139
_space_group_name_Hall '-I 4 2'
loop_
_atom_site_label
_atom_site_type_symbol
_atom_site_fract_x
_atom_site_fract_y
_atom_site_fract_z
Be1 Be 0.0000 0.0000 0.0000
In1 In 0.0000 0.0000 0.4023
Au1 Au 0.0000 0.5000 0.2500
# Total magnetization, μB/f.u.: 0.000
# E above lowest polymorph, meV/atom: 291
# Density, g/cm3: 9.56

# PBE-GGA BeInAu2, relaxed
data_BeInAu2
_chemical_formula_sum 'Be2 In2 Au4'
_cell_length_a 7.3585
_cell_length_b 3.8876
_cell_length_c 5.7566
_cell_angle_alpha 90.00
_cell_angle_beta 117.53
_cell_angle_gamma 90.00
_space_group_name_H-M_alt 'C 1 m 1'
_space_group_IT_number 8
loop_
_space_group_symop_operation_xyz
'x,y,z'
'x,-y,z'
'x+1/2,y+1/2,z'
'x+1/2,-y+1/2,z'
loop_
_atom_site_label
_atom_site_type_symbol
_atom_site_fract_x
_atom_site_fract_y
_atom_site_fract_z
Be1 Be 0.0000 0.0000 0.0000
In1 In 0.1951 0.0000 0.5324
Au1 Au 0.1195 0.5000 0.8557
Au2 Au 0.4056 0.0000 0.1957
# Total magnetization, μB/f.u.: 0.000
# E above lowest polymorph, meV/atom: 4
# Density, g/cm3: 11.77

# PBE-GGA BeIn2Au, relaxed
data_BeIn2Au
_chemical_formula_sum 'Be2 In4 Au2'
_cell_length_a 4.3104
_cell_length_b 4.3104
_cell_length_c 8.3377
_cell_angle_alpha 90.00
_cell_angle_beta 90.00
_cell_angle_gamma 90.00
_space_group_name_H-M_alt 'I 4/m m m'
_space_group_IT_number 139
_space_group_name_Hall '-I 4 2'
loop_
_atom_site_label
_atom_site_type_symbol
_atom_site_fract_x
_atom_site_fract_y
_atom_site_fract_z
Be1 Be 0.0000 0.0000 0.0000
In1 In 0.0000 0.5000 0.2500
Au1 Au 0.0000 0.0000 0.5000
# Total magnetization, μB/f.u.: 0.000
# Density, g/cm3: 9.34

# PBE-GGA Be2InAu, relaxed
data_Be2InAu
_chemical_formula_sum 'Be4 In2 Au2'
_cell_length_a 8.2017
_cell_length_b 3.3177
_cell_length_c 4.6572
_cell_angle_alpha 90.00
_cell_angle_beta 100.64
_cell_angle_gamma 90.00
_space_group_name_H-M_alt 'C 1 m 1'
_space_group_IT_number 8
loop_
_space_group_symop_operation_xyz
'x,y,z'
'x,-y,z'
'x+1/2,y+1/2,z'
'x+1/2,-y+1/2,z'
loop_
_atom_site_label
_atom_site_type_symbol
_atom_site_fract_x
_atom_site_fract_y
_atom_site_fract_z
Be1 Be 0.0000 0.0000 0.0000
Be2 Be 0.2268 0.5000 0.1668
In1 In 0.0013 0.5000 0.4730
Au1 Au 0.2681 0.0000 0.8367
# Total magnetization, μB/f.u.: 0.000
# Density, g/cm3: 8.79

# PBE-GGA BeIn2Au, relaxed
data_BeIn2Au
_chemical_formula_sum 'Be2 In4 Au2'
_cell_length_a 3.0953
_cell_length_b 4.3156
_cell_length_c 12.0300
_cell_angle_alpha 90.00
_cell_angle_beta 90.00
_cell_angle_gamma 90.00
_space_group_name_H-M_alt 'I m m 2'
_space_group_IT_number 44
loop_
_space_group_symop_operation_xyz
'x,y,z'
'-x,-y,z'
'-x,y,z'
'x,-y,z'
'x+1/2,y+1/2,z+1/2'
'-x+1/2,-y+1/2,z+1/2'
'-x+1/2,y+1/2,z+1/2'
'x+1/2,-y+1/2,z+1/2'
loop_
_atom_site_label
_atom_site_type_symbol
_atom_site_fract_x
_atom_site_fract_y
_atom_site_fract_z
Be1 Be 0.0000 0.0000 0.0000
In1 In 0.0000 0.0000 0.4706
In2 In 0.0000 0.5000 0.2701
Au1 Au 0.0000 0.5000 0.6501
# Total magnetization, μB/f.u.: 0.000
# Density, g/cm3: 9.00

# PBE-GGA Be2InAu, relaxed
data_Be2InAu
_chemical_formula_sum 'Be2 In1 Au1'
_cell_length_a 3.2411
_cell_length_b 3.2411
_cell_length_c 5.6534
_cell_angle_alpha 90.00
_cell_angle_beta 90.00
_cell_angle_gamma 90.00
_space_group_name_H-M_alt 'P 4/m m m'
_space_group_IT_number 123
_space_group_name_Hall '-P 4 2'
loop_
_atom_site_label
_atom_site_type_symbol
_atom_site_fract_x
_atom_site_fract_y
_atom_site_fract_z
Be1 Be 0.0000 0.0000 0.2055
In1 In 0.5000 0.5000 0.5000
Au1 Au 0.5000 0.5000 0.0000
# Total magnetization, μB/f.u.: 0.000
# Density, g/cm3: 9.22

# PBE-GGA BeIn2Au, relaxed
data_BeIn2Au
_chemical_formula_sum 'Be4 In8 Au4'
_cell_length_a 6.8629
_cell_length_b 6.8629
_cell_length_c 6.8629
_cell_angle_alpha 90.00
_cell_angle_beta 90.00
_cell_angle_gamma 90.00
_space_group_name_H-M_alt 'F -4 3 m'
_space_group_IT_number 216
_space_group_name_Hall 'F -4 2 3'
loop_
_atom_site_label
_atom_site_type_symbol
_atom_site_fract_x
_atom_site_fract_y
_atom_site_fract_z
Be1 Be 0.0000 0.0000 0.0000
In1 In 0.0000 0.0000 0.5000
In2 In 0.2500 0.2500 0.7500
Au1 Au 0.2500 0.2500 0.2500
# Total magnetization, μB/f.u.: 0.000
# Density, g/cm3: 8.95

# PBE-GGA BeInAu4, relaxed
data_BeInAu4
_chemical_formula_sum 'Be4 In4 Au16'
_cell_length_a 7.7997
_cell_length_b 7.7997
_cell_length_c 7.7997
_cell_angle_alpha 90.00
_cell_angle_beta 90.00
_cell_angle_gamma 90.00
_space_group_name_H-M_alt 'F -4 3 m'
_space_group_IT_number 216
_space_group_name_Hall 'F -4 2 3'
loop_
_atom_site_label
_atom_site_type_symbol
_atom_site_fract_x
_atom_site_fract_y
_atom_site_fract_z
Be1 Be 0.0000 0.0000 0.0000
In1 In 0.2500 0.2500 0.7500
Au1 Au 0.1253 0.1253 0.3747
# Total magnetization, μB/f.u.: 0.000
# E above lowest polymorph, meV/atom: 391
# Density, g/cm3: 12.76

no.,energy relative to the elements (meV/atom),electronic total energy (Ha/atom)
1,96,-0.1158
2,112,-0.1155
3,91,-0.1163
4,-87,-0.1248
5,348,-0.1030
6,-68,-0.1221
7,298,-0.1037
8,192,-0.1167
9,109,-0.1107
10,212,-0.1159
11,369,-0.1011
12,280,-0.1096